The following is a PBE+U calculation of a relaxed structure of KMoO3, from Alexandria.

Computed properties:
As for the density of states at the Fermi level: 0.00 states/eV/cell. For the energy, the calculation gives -6.316 eV/atom. The value obtained for the mass density is 3500 kg/m3.

abc: 5.318 6.224 6.292
angles: 88.93 68.72 65.02
Space group P-1 (No. 2)
One atom of each set of equivalent atoms:
K  0.193  0.159  0.409
Mo  0.265  0.576  0.947
O  0.069  0.431  0.794
O  0.265  0.794  0.762
O  0.355  0.716  0.186